# 1
## HgSe2N (SCAN)

Data for a crystal of HgSe2N relaxed with PBEsol.

```
HgSe2N
1.0
4.619 0.000 0.000
2.310 4.000 0.000
2.310 1.333 3.771
Hg Se N
1 2 1
direct
0.500 0.500 0.500
0.250 0.250 0.250
0.750 0.750 0.750
0.000 0.000 0.000
```

Distance to the lowest polymorph of the same formula: 2.88 eV per formula unit
Energy relative to the elements, uncorrected: 5.97 eV/f.u.
Space group: Fm-3m, No. 225

# 2
## PdSe2I (SCAN)

Data for a crystal of PdSe2I relaxed with PBEsol.

```
PdSe2I
1.0
3.880 0.000 0.000
1.940 3.361 0.000
1.940 1.120 7.933
I Se Pd
1 2 1
direct
0.000 0.000 0.000
0.884 0.884 0.348
0.116 0.116 0.652
0.500 0.500 0.500
```

Energy relative to the elements, uncorrected: -0.79 eV/f.u.
Space group: R-3m, No. 166